Entry from the Alexandria database: a geometry-optimized Rb2TiAlI6 structure (PBE).

a = 8.4154 Å, b = 8.4154 Å, c = 8.4147 Å
α = 60.00°, β = 60.00°, γ = 90.00°
With the nearest neighbours (Å) after each atom.
Atoms (fractional coordinates):
I: 0.2385 0.2385 0.5229  1 Ti 2.84, 1 Al 3.11
I: 0.7615 0.7615 0.4771  1 Ti 2.84, 1 Al 3.11
I: 0.2385 0.2385 0.0000  1 Ti 2.84, 1 Al 3.11
I: 0.7615 0.7615 0.0000  1 Ti 2.84, 1 Al 3.11
I: 0.7615 0.2385 0.0000  1 Ti 2.84, 1 Al 3.11
I: 0.2385 0.7615 0.0000  1 Ti 2.84, 1 Al 3.11
Al: 0.5000 0.5000 0.0000  6 I 3.11
Rb: 0.7500 0.2500 0.5000  12 I 4.21
Rb: 0.2500 0.7500 0.5000  12 I 4.21
Ti: 0.0000 0.0000 0.0000  6 I 2.84

Properties
Its formation energy (no corrections) is -0.86 eV per atom. Its density of states at the Fermi level is 0.8447 states/eV/atom. Its total energy is -3.151 eV per atom. The calculation puts the total magnetic moment at 0.10 μB per atom.